{
  "formula": "ZrMnN2F",
  "functional": "GGA+U",
  "state": "relaxed",
  "lattice_angstrom": [[3.927, 0.000, 0.000], [0.000, 3.927, 0.000], [0.000, 0.000, 3.681]],
  "species": ["Mn", "N", "Zr", "F", "N"],
  "fractional_positions": [[0.000, 0.000, 0.000], [0.000, 0.500, 0.000], [0.500, 0.500, 0.500], [0.000, 0.000, 0.500], [0.500, 0.000, 0.000]],
  "magmom_total_mub_per_fu": 3.8,
  "dft_energy_ev_per_atom": -7.4326
}